Entry 1:
A plane-wave DFT calculation with PBE-GGA was carried out for an optimized crystal structure of Ac2RhCl.

abc: 3.652 3.652 8.491
angles: 90.00 90.00 90.00
Positions (direct):
Ac1 0.000 0.000 0.217
Ac2 0.000 0.000 0.783
Rh1 0.500 0.500 0.000
Cl1 0.500 0.500 0.500

## Properties
Energy relative to the lowest polymorph listed for this composition ... 6.394 kcal/mol of atoms
Energy ... -0.196 Ha/atom
Energy relative to the elements, uncorrected ... -983.5 meV per atom

***

Entry 2:
A plane-wave DFT calculation with PBE-GGA was carried out for an optimized crystal structure of Ac2RhCl2.

abc: 4.326 4.326 31.451
angles: 90.00 90.00 120.00
Positions (direct):
Ac1 0.000 0.000 0.112
Ac2 0.000 0.000 0.888
Ac3 0.333 0.667 0.555
Ac4 0.333 0.667 0.778
Ac5 0.667 0.333 0.222
Ac6 0.667 0.333 0.445
Rh1 0.000 0.000 0.500
Rh2 0.333 0.667 0.167
Rh3 0.667 0.333 0.833
Cl1 0.000 0.000 0.279
Cl2 0.000 0.000 0.721
Cl3 0.333 0.667 0.387
Cl4 0.333 0.667 0.946
Cl5 0.667 0.333 0.054
Cl6 0.667 0.333 0.613

## Properties
Energy ... -0.199 Ha/atom
Energy relative to the elements, uncorrected ... -1549.3 meV per atom

***

Entry 3:
A plane-wave DFT calculation with PBE-GGA was carried out for an optimized crystal structure of Ac2RhCl.

abc: 4.286 4.286 24.533
angles: 90.00 90.00 120.00
Positions (direct):
Ac1 0.000 0.000 0.000
Ac2 0.000 0.000 0.200
Ac3 0.333 0.667 0.667
Ac4 0.333 0.667 0.867
Ac5 0.667 0.333 0.333
Ac6 0.667 0.333 0.533
Rh1 0.000 0.000 0.600
Rh2 0.333 0.667 0.267
Rh3 0.667 0.333 0.934
Cl1 0.000 0.000 0.429
Cl2 0.333 0.667 0.096
Cl3 0.667 0.333 0.763

## Properties
Energy relative to the lowest polymorph listed for this composition ... 0.507 kcal/mol of atoms
Energy ... -0.206 Ha/atom
Energy relative to the elements, uncorrected ... -1238.8 meV per atom

***

Entry 4:
A plane-wave DFT calculation with PBE-GGA was carried out for an optimized crystal structure of Ac3RhCl3.

abc: 8.842 4.421 12.571
angles: 90.00 91.52 90.00
Positions (direct):
Ac1 0.095 0.250 0.124
Ac2 0.158 0.250 0.653
Ac3 0.362 0.750 0.901
Ac4 0.638 0.250 0.099
Ac5 0.842 0.750 0.347
Ac6 0.905 0.750 0.876
Rh1 0.140 0.250 0.881
Rh2 0.860 0.750 0.119
Cl1 0.073 0.250 0.398
Cl2 0.367 0.750 0.162
Cl3 0.382 0.750 0.642
Cl4 0.618 0.250 0.358
Cl5 0.633 0.250 0.838
Cl6 0.927 0.750 0.602

## Properties
Energy ... -0.191 Ha/atom
Energy relative to the elements, uncorrected ... -1590.7 meV per atom

***

Entry 5:
A plane-wave DFT calculation with PBE-GGA was carried out for an optimized crystal structure of Ac6Ru2RhCl3.

abc: 7.434 7.434 8.378
angles: 98.48 98.48 120.02
Positions (direct):
Ac1 0.094 0.433 0.797
Ac2 0.229 0.229 0.203
Ac3 0.433 0.094 0.797
Ac4 0.567 0.906 0.203
Ac5 0.771 0.771 0.797
Ac6 0.906 0.567 0.203
Ru1 0.166 0.834 0.000
Ru2 0.834 0.166 0.000
Rh1 0.500 0.500 0.000
Cl1 0.000 0.000 0.500
Cl2 0.329 0.671 0.500
Cl3 0.671 0.329 0.500

## Properties
Energy ... -0.210 Ha/atom
Energy relative to the elements, uncorrected ... -1043.1 meV per atom

***

Entry 6:
A plane-wave DFT calculation with PBE-GGA was carried out for an optimized crystal structure of Ac4RuRhCl2.

abc: 7.426 4.294 8.395
angles: 90.00 107.23 90.00
Positions (direct):
Ac1 0.231 0.000 0.203
Ac2 0.261 0.500 0.798
Ac3 0.739 0.500 0.202
Ac4 0.769 0.000 0.797
Ru1 0.000 0.500 0.000
Rh1 0.500 0.000 0.000
Cl1 0.000 0.000 0.500
Cl2 0.500 0.500 0.500

## Properties
Energy ... -0.209 Ha/atom
Energy relative to the elements, uncorrected ... -1103.1 meV per atom

***

Entry 7:
A plane-wave DFT calculation with PBE-GGA was carried out for an optimized crystal structure of Ac6RuRh2Cl3.

abc: 10.380 10.380 9.434
angles: 110.29 110.29 23.87
Positions (direct):
Ac1 0.009 0.009 0.221
Ac2 0.323 0.323 0.442
Ac3 0.346 0.346 0.894
Ac4 0.654 0.654 0.106
Ac5 0.677 0.677 0.558
Ac6 0.991 0.991 0.779
Ru1 0.500 0.500 0.000
Rh1 0.168 0.168 0.336
Rh2 0.832 0.832 0.664
Cl1 0.164 0.164 0.831
Cl2 0.500 0.500 0.500
Cl3 0.836 0.836 0.169

## Properties
Energy ... -0.208 Ha/atom
Energy relative to the elements, uncorrected ... -1159.1 meV per atom

***

Entry 8:
A plane-wave DFT calculation with PBE-GGA was carried out for an optimized crystal structure of Ac6RuRh2Cl2.

abc: 7.513 7.513 8.143
angles: 98.68 98.68 120.20
Positions (direct):
Ac1 0.068 0.397 0.207
Ac2 0.260 0.260 0.793
Ac3 0.397 0.068 0.207
Ac4 0.603 0.932 0.793
Ac5 0.740 0.740 0.207
Ac6 0.932 0.603 0.793
Ru1 0.000 0.000 0.000
Rh1 0.330 0.670 0.000
Rh2 0.670 0.330 0.000
Cl1 0.163 0.837 0.500
Cl2 0.837 0.163 0.500

## Properties
Energy ... -0.209 Ha/atom
Energy relative to the elements, uncorrected ... -942.3 meV per atom